*i*
NaHf3Re after structural relaxation, computed with GGA-PBE.

Output
* symmetry: Pm-3m
* DOS at the Fermi energy: 8.6 states/eV per cell

a b c (Å): 4.7591 4.7591 4.7591
angles (deg): 90.00 90.00 90.00
Positions (direct):
Re (0.5000, 0.5000, 0.5000)
Hf (0.0000, 0.0000, 0.5000)
Hf (0.5000, 0.0000, 0.0000)
Hf (0.0000, 0.5000, 0.0000)
Na (0.0000, 0.0000, 0.0000)

*ii*
NaHf3Re after structural relaxation, computed with GGA-PBE.

Output
* symmetry: Pm-3m
* DOS at the Fermi energy: 7.9 states/eV per cell

a b c (Å): 5.1244 5.1244 5.1244
angles (deg): 90.00 90.00 90.00
Positions (direct):
Hf (0.0000, 0.0000, 0.5000)
Hf (0.5000, 0.0000, 0.0000)
Hf (0.0000, 0.5000, 0.0000)
Re (0.0000, 0.0000, 0.0000)
Na (0.5000, 0.5000, 0.5000)

*ii* is preferred energetically. Next in line: 138.5 kJ/mol of atoms higher.

*i*
NaHf2Rh2 after structural relaxation, computed with GGA-PBE.

Output
* symmetry: I4/mmm
* DOS at the Fermi energy: 4.7 states/eV per cell

a b c (Å): 4.1581 4.1581 7.1847
angles (deg): 73.18 73.18 90.00
Positions (direct):
Rh (0.2500, 0.7500, 0.5000)
Rh (0.7500, 0.2500, 0.5000)
Na (0.0000, 0.0000, 0.0000)
Hf (0.6324, 0.6324, 0.7353)
Hf (0.3676, 0.3676, 0.2647)

*ii*
NaHf2Rh2 after structural relaxation, computed with GGA-PBE.

Output
* symmetry: P4/mbm
* DOS at the Fermi energy: 6.5 states/eV per cell

a b c (Å): 7.8588 7.8588 3.1114
angles (deg): 90.00 90.00 90.00
Positions (direct):
Hf (0.8515, 0.3515, 0.5000)
Hf (0.6485, 0.8515, 0.5000)
Hf (0.3515, 0.1485, 0.5000)
Hf (0.1485, 0.6485, 0.5000)
Na (0.5000, 0.5000, 0.0000)
Na (0.0000, 0.0000, 0.0000)
Rh (0.8590, 0.6410, 0.0000)
Rh (0.3590, 0.8590, 0.0000)
Rh (0.1410, 0.3590, 0.0000)
Rh (0.6410, 0.1410, 0.0000)

*iii*
NaHf2Rh2 after structural relaxation, computed with GGA-PBE.

Output
* symmetry: P4/mbm
* DOS at the Fermi energy: 5.9 states/eV per cell

a b c (Å): 7.9390 7.9390 3.0532
angles (deg): 90.00 90.00 90.00
Positions (direct):
Rh (0.3547, 0.1453, 0.5000)
Rh (0.6453, 0.8547, 0.5000)
Rh (0.1453, 0.6453, 0.5000)
Rh (0.8547, 0.3547, 0.5000)
Na (0.0000, 0.0000, 0.0000)
Na (0.5000, 0.5000, 0.0000)
Hf (0.3562, 0.8562, 0.0000)
Hf (0.1438, 0.3562, 0.0000)
Hf (0.8562, 0.6438, 0.0000)
Hf (0.6438, 0.1438, 0.0000)

*ii* is preferred energetically. Next in line: 6.3 kJ/mol of atoms higher.

*i*
Na2HfRh after structural relaxation, computed with GGA-PBE.

Output
* symmetry: Fm-3m
* DOS at the Fermi energy: 5.5 states/eV per cell

a b c (Å): 4.7995 4.7995 4.7995
angles (deg): 60.00 60.00 60.00
Positions (direct):
Na (0.7500, 0.7500, 0.7500)
Na (0.2500, 0.2500, 0.2500)
Hf (0.5000, 0.5000, 0.5000)
Rh (0.0000, 0.0000, 0.0000)

*ii*
Na2HfRh after structural relaxation, computed with GGA-PBE.

Output
* symmetry: I-42d
* DOS at the Fermi energy: 8.1 states/eV per cell

a b c (Å): 8.8992 8.8992 6.7632
angles (deg): 48.86 48.86 90.00
Positions (direct):
Hf (0.0000, 0.0000, 0.0000)
Hf (0.7500, 0.2500, 0.5000)
Na (0.5596, 0.1250, 0.2500)
Na (0.8750, 0.8096, 0.7500)
Na (0.3750, 0.4404, 0.7500)
Na (0.1904, 0.6250, 0.2500)
Rh (0.5000, 0.5000, 0.0000)
Rh (0.2500, 0.7500, 0.5000)

*ii* is preferred energetically. Next in line: 21.1 kJ/mol of atoms higher.